1 | Below is a relaxed structure of BeInSb2Te, with properties calculated at the PBE level.

## Properties
* crystal system: tetragonal

a = 5.688 Å, b = 5.688 Å, c = 5.751 Å
α = 90.00°, β = 90.00°, γ = 90.00°
Positions (direct):
Be1 0.000 0.000 0.000
In1 0.500 0.500 0.500
Sb1 0.000 0.500 0.500
Sb2 0.500 0.000 0.500
Te1 0.500 0.500 0.000

2 | Below is a relaxed structure of BeInSb2Te, with properties calculated at the PBE level.

## Properties
* crystal system: tetragonal

a = 4.955 Å, b = 4.955 Å, c = 5.672 Å
α = 90.00°, β = 90.00°, γ = 90.00°
Positions (direct):
Be1 0.000 0.000 0.000
In1 0.500 0.500 0.500
Sb1 0.000 0.500 0.000
Sb2 0.500 0.000 0.000
Te1 0.000 0.000 0.500

Most stable one: 2, least stable one: 1.

1 | Below is a relaxed structure of BeInSbTe2, with properties calculated at the PBE level.

## Properties
* crystal system: tetragonal

a = 5.692 Å, b = 5.692 Å, c = 5.637 Å
α = 90.00°, β = 90.00°, γ = 90.00°
Positions (direct):
Be1 0.000 0.000 0.000
In1 0.500 0.500 0.500
Sb1 0.500 0.500 0.000
Te1 0.000 0.500 0.500
Te2 0.500 0.000 0.500

2 | Below is a relaxed structure of BeInSbTe2, with properties calculated at the PBE level.

## Properties
* crystal system: tetragonal

a = 5.342 Å, b = 5.342 Å, c = 4.729 Å
α = 90.00°, β = 90.00°, γ = 90.00°
Positions (direct):
Be1 0.000 0.000 0.000
In1 0.500 0.500 0.500
Sb1 0.000 0.000 0.500
Te1 0.000 0.500 0.000
Te2 0.500 0.000 0.000

Most stable one: 2, least stable one: 1.

1 | Below is a relaxed structure of Sc2BeIn, with properties calculated at the PBE level.

## Properties
* crystal system: tetragonal

a = 6.082 Å, b = 6.082 Å, c = 6.082 Å
α = 104.45°, β = 104.45°, γ = 120.05°
Positions (direct):
Sc1 0.082 0.125 0.457
Sc2 0.375 0.918 0.043
Sc3 0.668 0.625 0.543
Sc4 0.875 0.332 0.957
Be1 0.000 0.000 0.000
Be2 0.750 0.250 0.500
In1 0.250 0.750 0.500
In2 0.500 0.500 0.000

2 | Below is a relaxed structure of Sc2BeIn, with properties calculated at the PBE level.

## Properties
* crystal system: cubic

a = 4.814 Å, b = 4.814 Å, c = 4.814 Å
α = 60.00°, β = 60.00°, γ = 60.00°
Positions (direct):
Sc1 0.000 0.000 0.000
Sc2 0.250 0.250 0.250
Be1 0.500 0.500 0.500
In1 0.750 0.750 0.750

3 | Below is a relaxed structure of Sc2BeIn, with properties calculated at the PBE level.

## Properties
* crystal system: tetragonal

a = 4.761 Å, b = 4.761 Å, c = 3.472 Å
α = 90.00°, β = 90.00°, γ = 90.00°
Positions (direct):
Sc1 0.000 0.500 0.000
Sc2 0.500 0.000 0.000
Be1 0.000 0.000 0.500
In1 0.500 0.500 0.500

4 | Below is a relaxed structure of Sc2BeIn, with properties calculated at the PBE level.

## Properties
* crystal system: trigonal

a = 8.847 Å, b = 8.847 Å, c = 8.847 Å
α = 21.81°, β = 21.81°, γ = 21.81°
Positions (direct):
Sc1 0.237 0.237 0.237
Sc2 0.763 0.763 0.763
Be1 0.500 0.500 0.500
In1 0.000 0.000 0.000

Most stable one: 3, least stable one: 2.